Computed, not measured: a relaxed Ac6Rh2NCl3 crystal at the GGA-PBE level of DFT. Values from VASP.

Properties
crystal system = monoclinic
uncorrected formation energy = -1.244 eV per atom

The structure in Quantum ESPRESSO input format:
```
&SYSTEM
  ibrav = 0, nat = 12, ntyp = 4
/
ATOMIC_SPECIES
Ac 227.00 Ac.upf
Rh 102.91 Rh.upf
N 14.01 N.upf
Cl 35.45 Cl.upf
CELL_PARAMETERS angstrom
7.2713 -0.0126 -0.0158
-3.6448 6.2919 -0.0158
-1.2269 -2.1243 8.0073
ATOMIC_POSITIONS angstrom
Ac 3.5480 2.1643 6.4095
Ac 2.4982 4.3256 1.5221
Ac -1.1483 1.9907 1.5663
Ac 0.1015 4.1547 6.4095
Ac -0.0985 -0.1706 6.4537
Ac 2.2982 0.0003 1.5663
Rh -0.0033 4.1888 -0.0158
Rh 3.6298 2.0905 -0.0158
N 0.0000 0.0000 0.0000
Cl -2.3840 4.1473 3.9879
Cl 4.7837 0.0077 3.9879
Cl 1.1998 2.0775 3.9879
```



Computed, not measured: a relaxed Ac8Rh3NCl3 crystal at the GGA-PBE level of DFT. Values from VASP.

Properties
crystal system = monoclinic
uncorrected formation energy = -1.051 eV per atom

The structure in Quantum ESPRESSO input format:
```
&SYSTEM
  ibrav = 0, nat = 15, ntyp = 4
/
ATOMIC_SPECIES
Ac 227.00 Ac.upf
Rh 102.91 Rh.upf
N 14.01 N.upf
Cl 35.45 Cl.upf
CELL_PARAMETERS angstrom
-1.7077 1.1890 -8.2355
-3.7615 -6.3983 4.2368
-2.8816 8.6399 1.8449
ATOMIC_POSITIONS angstrom
Ac -3.2873 -0.5351 0.6044
Ac -5.0636 3.9657 -2.7581
Ac -4.2234 0.0385 -3.4993
Ac -4.1275 3.3921 1.3456
Ac -2.3049 3.3883 -5.7301
Ac -6.0459 0.0423 3.5764
Ac -1.4018 2.7595 -1.3749
Ac -6.9490 0.6711 -0.7788
Rh -2.2947 4.9145 -3.1953
Rh -4.1754 1.7153 -1.0768
Rh -3.3216 1.1208 3.0409
N -1.4408 4.3200 0.9225
Cl 0.0000 0.0000 0.0000
Cl -1.8808 -3.1992 2.1184
Cl -2.7346 -2.6047 -1.9993
```